[1]
The following is a DFT calculation (PBE) of a relaxed structure of PmPrP2.

Structure (extended XYZ):
```
4
Lattice="-0.4261 -3.0540 4.0305 1.3993 -4.8659 -0.3442 4.1632 -1.6194 2.4080" Properties=species:S:1:pos:R:3 pbc="T T T"
Pr 2.5682 -4.7696 3.0471
P 1.2841 -2.3848 1.5236
P 3.8523 -7.1544 4.5707
Pm 0.0000 0.0000 0.0000
```

Properties
As for the space group: Fm-3m, No. 225. The total moment comes out at 0.00 μB/cell. The value obtained for the energy above the most stable polymorph in this dataset is 490 meV per atom. For the energy of formation from the pure elements, the calculation gives -1.05 eV/atom.

***

[2]
The following is a DFT calculation (PBE) of a relaxed structure of PmPrP2.

Structure (extended XYZ):
```
4
Lattice="4.1163 0.0000 0.0000 2.0581 3.5648 0.0000 2.0581 1.1883 7.1058" Properties=species:S:1:pos:R:3 pbc="T T T"
Pm 6.1744 3.5648 7.0559
Pr 4.1163 2.3765 3.6058
P 2.0581 1.1883 5.3753
P 2.0581 1.1883 1.7274
```

Properties
As for the space group: R3m, No. 160. The total moment comes out at 0.00 μB/cell. The value obtained for the energy above the most stable polymorph in this dataset is 162 meV per atom. For the energy of formation from the pure elements, the calculation gives -1.38 eV/atom.

***

[3]
The following is a DFT calculation (PBE) of a relaxed structure of Pm3PrP.

Structure (extended XYZ):
```
5
Lattice="-0.9034 4.3063 3.4080 -4.6414 1.2474 -2.8065 -2.9354 -3.2976 3.3888" Properties=species:S:1:pos:R:3 pbc="T T T"
Pr -4.2400 1.1280 1.9951
P 0.0000 0.0000 0.0000
Pm -2.3207 0.6237 -1.4033
Pm -1.4677 -1.6488 1.6944
Pm -0.4517 2.1532 1.7040
```

Properties
As for the space group: Pm-3m, No. 221. The total moment comes out at 0.00 μB/cell. For the energy of formation from the pure elements, the calculation gives -0.41 eV/atom.

***

[4]
The following is a DFT calculation (PBE) of a relaxed structure of Pm3Pr2P4.

Structure (extended XYZ):
```
9
Lattice="4.0085 0.0000 0.9860 1.7764 6.7737 1.4192 -0.1498 0.6238 9.2498" Properties=species:S:1:pos:R:3 pbc="T T T"
Pm 0.0000 0.0000 0.0000
Pm 1.5045 2.8347 2.5249
Pm 4.1307 4.5628 9.1302
Pr 2.6576 1.6426 6.4781
Pr 2.9776 5.7550 5.1770
P 3.3368 0.8840 3.7166
P 2.2984 6.5135 7.9384
P 2.0010 2.6070 9.1474
P 3.6342 4.7906 2.5076
```

Properties
As for the space group: C2/m, No. 12. The total moment comes out at 0.36 μB/cell. For the energy of formation from the pure elements, the calculation gives -1.38 eV/atom.